First-principles (PBEsol) data for an optimized crystal structure of SrLi3Sn, as listed in Alexandria via LeMat-Bulk.

a b c (Å): 5.1321 5.1321 5.1321
angles (deg): 90.00 90.00 90.00
With the nearest neighbours (Å) after each atom.
Sites, in units of the cell vectors:
1 Sr 0.0000 0.0000 0.0000  12 Li 3.63
2 Li 0.0000 0.5000 0.5000  2 Sn 2.57
3 Li 0.5000 0.0000 0.5000  2 Sn 2.57
4 Li 0.5000 0.5000 0.0000  2 Sn 2.57
5 Sn 0.5000 0.5000 0.5000  6 Li 2.57

Calculated values
Energy relative to the elements = -0.206 eV/atom
Offset from the most stable computed form = 0 meV/atom
ρ = 2.79 g cm⁻³
Space group = Pm-3m (221)